Entry from Alexandria via LeMat-Bulk: a relaxed ZrTaPt2 crystal (PBE-GGA).

CIF file:
```
data_ZrTaPt2
_chemical_formula_sum 'Zr2 Ta2 Pt4'
_cell_length_a 5.806
_cell_length_b 8.207
_cell_length_c 2.898
_cell_angle_alpha 90.00
_cell_angle_beta 90.18
_cell_angle_gamma 90.00
_space_group_name_H-M_alt 'C 1 2/m 1'
_space_group_IT_number 12
loop_
_space_group_symop_operation_xyz
'x,y,z'
'-x,-y,-z'
'-x,y,-z'
'x,-y,z'
'x+1/2,y+1/2,z'
'-x+1/2,-y+1/2,-z'
'-x+1/2,y+1/2,-z'
'x+1/2,-y+1/2,z'
loop_
_atom_site_label
_atom_site_fract_x
_atom_site_fract_y
_atom_site_fract_z
_atom_site_occupancy
Zr1 0.000 0.000 0.000 1
Ta1 0.000 0.500 0.000 1
Pt1 0.250 0.250 0.500 1
```

Computed properties:
crystal system = monoclinic
E_form = -0.7468 eV per atom
volume = 17.26 Å³ per atom